# Sr2VSbO

A geometry-optimized Sr2VSbO structure (GGA+U, Alexandria).

Unit cell a=4.9417 b=4.9417 c=5.3079 alpha=90.00 beta=90.00 gamma=90.00
Space group P4/mmm (No. 123)
Asymmetric unit:
Sr 0.0000 0.5000 0.0000 x2
V 0.0000 0.0000 0.5000 x1
Sb 0.5000 0.5000 0.5000 x1
O 0.5000 0.5000 0.0000 x1

Output
D(E_F)   0.3930 states/eV/atom
E_tot   -4.375 eV per atom